# TlWI2O

Crystalline TlWI2O at its relaxed geometry (PBE+U, Alexandria via LeMat-Bulk).

* V: 153.9 Å³/cell
* ΔE to the lowest computed polymorph: 1.206 eV per atom
* Fermi-level density of states: 2.48 states/eV/f.u.

Cell lengths 6.121, 6.121, 4.106 Å; angles 90.00, 90.00, 90.00 degrees
Space group P4/mmm (No. 123)
Asymmetric unit:
Tl1 0.000 0.000 0.000 [1 per cell]
W1 0.500 0.500 0.500 [1 per cell]
I1 0.000 0.500 0.000 [2 per cell]
O1 0.000 0.000 0.500 [1 per cell]